This record from the Alexandria database describes BaLi2Co after structural relaxation. The functional is PBE.

Summary:
For the energy above the lowest structure with this stoichiometry, the calculation gives 1.14 eV/f.u. Its formation energy is 0.641 eV/atom.

a = 5.548 Å, b = 5.548 Å, c = 3.209 Å
α = 90.00°, β = 90.00°, γ = 117.38°
Last column: magnetic moment on the atom in μB.
Fractional coordinates of all 4 atoms:
Ba 0.500 0.000 0.500  -0.04
Co 0.000 0.500 0.500  1.46
Li 0.000 0.000 0.000  -0.01
Li 0.500 0.500 0.000  -0.01

=====

This record from the Alexandria database describes TiMn3Se after structural relaxation. The functional is PBE.

Summary:
For the energy above the lowest structure with this stoichiometry, the calculation gives 1.43 eV/f.u. The value obtained for the raw formation energy is 1.04 eV per atom.

a = 4.577 Å, b = 4.577 Å, c = 4.577 Å
α = 90.00°, β = 90.00°, γ = 90.00°
Last column: magnetic moment on the atom in μB.
Fractional coordinates of all 5 atoms:
Mn 0.000 0.500 0.000  3.19
Mn 0.000 0.000 0.500  3.04
Mn 0.500 0.000 0.000  3.47
Se 0.500 0.500 0.500  0.01
Ti 0.000 0.000 0.000  -1.18

=====

This record from the Alexandria database describes NdCuAsH after structural relaxation. The functional is PBE.

Summary:
Its final energy is -5.03 eV/atom.

a = 4.158 Å, b = 4.158 Å, c = 4.248 Å
α = 90.00°, β = 90.00°, γ = 120.00°
Fractional coordinates of all 4 atoms:
Nd 0.572 0.144 0.319
Cu 0.239 0.477 0.861
As 0.905 0.811 0.790
H 0.239 0.477 0.269